1.
An optimized crystal structure of PtWAu2. Source: Alexandria via LeMat-Bulk, functional PBE.

```
data_PtWAu2
_cell_length_a 5.778
_cell_length_b 5.778
_cell_length_c 5.778
_cell_angle_alpha 151.90
_cell_angle_beta 129.53
_cell_angle_gamma 58.77
_space_group_name_H-M_alt 'P 1'
_space_group_IT_number 1
loop_
_space_group_symop_operation_xyz
'x,y,z'
loop_
_atom_site_label
_atom_site_fract_x
_atom_site_fract_y
_atom_site_fract_z
_atom_site_occupancy
Pt1 0.000 0.000 0.000 1
W1 0.783 0.283 0.500 1
Au1 0.255 0.755 0.500 1
Au2 0.532 0.532 0.000 1
```

Properties
Energy of formation: 105 kJ/mol of formula units
E_tot: -6.116 eV per atom

=====

2.
An optimized crystal structure of Ho2Pd8Pt. Source: Alexandria via LeMat-Bulk, functional PBE.

```
data_Ho2Pd8Pt
_cell_length_a 7.532
_cell_length_b 7.532
_cell_length_c 6.513
_cell_angle_alpha 107.35
_cell_angle_beta 107.35
_cell_angle_gamma 32.50
_space_group_name_H-M_alt 'P 1'
_space_group_IT_number 1
loop_
_space_group_symop_operation_xyz
'x,y,z'
loop_
_atom_site_label
_atom_site_fract_x
_atom_site_fract_y
_atom_site_fract_z
_atom_site_occupancy
Ho1 0.216 0.216 0.166 1
Ho2 0.784 0.784 0.834 1
Pd1 0.035 0.035 0.228 1
Pd2 0.142 0.142 0.679 1
Pd3 0.331 0.331 0.601 1
Pd4 0.408 0.408 0.061 1
Pd5 0.592 0.592 0.939 1
Pd6 0.669 0.669 0.399 1
Pd7 0.858 0.858 0.321 1
Pd8 0.965 0.965 0.772 1
Pt1 0.500 0.500 0.500 1
```

Properties
Energy of formation: -564 kJ/mol of formula units
E_tot: -5.689 eV per atom

=====

3.
An optimized crystal structure of LaNd3. Source: Alexandria via LeMat-Bulk, functional PBE.

```
data_LaNd3
_cell_length_a 7.479
_cell_length_b 7.479
_cell_length_c 5.983
_cell_angle_alpha 90.00
_cell_angle_beta 90.00
_cell_angle_gamma 120.00
_space_group_name_H-M_alt 'P 1'
_space_group_IT_number 1
loop_
_space_group_symop_operation_xyz
'x,y,z'
loop_
_atom_site_label
_atom_site_fract_x
_atom_site_fract_y
_atom_site_fract_z
_atom_site_occupancy
La1 0.333 0.667 0.250 1
La2 0.667 0.333 0.750 1
Nd1 0.166 0.332 0.750 1
Nd2 0.166 0.834 0.750 1
Nd3 0.332 0.166 0.250 1
Nd4 0.668 0.834 0.750 1
Nd5 0.834 0.166 0.250 1
Nd6 0.834 0.668 0.250 1
```

Properties
Energy of formation: 13 kJ/mol of formula units
E_tot: -4.774 eV per atom

=====

4.
An optimized crystal structure of SrGePCl2. Source: Alexandria via LeMat-Bulk, functional PBE.

```
data_SrGePCl2
_cell_length_a 5.143
_cell_length_b 5.143
_cell_length_c 4.813
_cell_angle_alpha 90.00
_cell_angle_beta 90.00
_cell_angle_gamma 90.00
_space_group_name_H-M_alt 'P 1'
_space_group_IT_number 1
loop_
_space_group_symop_operation_xyz
'x,y,z'
loop_
_atom_site_label
_atom_site_fract_x
_atom_site_fract_y
_atom_site_fract_z
_atom_site_occupancy
Sr1 0.000 0.000 0.000 1
Ge1 0.500 0.500 0.500 1
P1 0.500 0.500 0.000 1
Cl1 0.000 0.500 0.500 1
Cl2 0.500 0.000 0.500 1
```

Properties
E_tot: -3.863 eV per atom
Raw formation energy: -783 meV per atom

=====

5.
An optimized crystal structure of Na2GeSe3. Source: Alexandria via LeMat-Bulk, functional PBE.

```
data_Na2GeSe3
_cell_length_a 7.577
_cell_length_b 7.577
_cell_length_c 14.595
_cell_angle_alpha 90.68
_cell_angle_beta 90.68
_cell_angle_gamma 124.29
_space_group_name_H-M_alt 'P 1'
_space_group_IT_number 1
loop_
_space_group_symop_operation_xyz
'x,y,z'
loop_
_atom_site_label
_atom_site_fract_x
_atom_site_fract_y
_atom_site_fract_z
_atom_site_occupancy
Na1 0.044 0.464 0.839 1
Na2 0.146 0.330 0.431 1
Na3 0.330 0.146 0.931 1
Na4 0.464 0.044 0.339 1
Na5 0.536 0.956 0.661 1
Na6 0.670 0.854 0.069 1
Na7 0.854 0.670 0.569 1
Na8 0.956 0.536 0.161 1
Ge1 0.258 0.269 0.658 1
Ge2 0.269 0.258 0.158 1
Ge3 0.731 0.742 0.842 1
Ge4 0.742 0.731 0.342 1
Se1 0.065 0.291 0.048 1
Se2 0.067 0.933 0.250 1
Se3 0.190 0.521 0.615 1
Se4 0.291 0.065 0.548 1
Se5 0.411 0.589 0.250 1
Se6 0.479 0.810 0.885 1
Se7 0.521 0.190 0.115 1
Se8 0.589 0.411 0.750 1
Se9 0.709 0.935 0.452 1
Se10 0.810 0.479 0.385 1
Se11 0.933 0.067 0.750 1
Se12 0.935 0.709 0.952 1
```

Properties
E_tot: -3.661 eV per atom
Raw formation energy: -709 meV per atom

=====

6.
An optimized crystal structure of NiHgBPC. Source: Alexandria via LeMat-Bulk, functional PBE.

```
data_NiHgBPC
_cell_length_a 2.901
_cell_length_b 4.295
_cell_length_c 6.662
_cell_angle_alpha 99.82
_cell_angle_beta 102.35
_cell_angle_gamma 109.68
_space_group_name_H-M_alt 'P 1'
_space_group_IT_number 1
loop_
_space_group_symop_operation_xyz
'x,y,z'
loop_
_atom_site_label
_atom_site_fract_x
_atom_site_fract_y
_atom_site_fract_z
_atom_site_occupancy
Ni1 0.000 0.000 0.000 1
Hg1 0.895 0.530 0.259 1
B1 0.532 0.209 0.853 1
P1 0.206 0.720 0.690 1
C1 0.655 0.532 0.775 1
```

Properties
Energy of formation: 158 kJ/mol of formula units
E_tot: -5.152 eV per atom

=====

7.
An optimized crystal structure of SmNbPb2O6. Source: Alexandria via LeMat-Bulk, functional PBE.

```
data_SmNbPb2O6
_cell_length_a 5.943
_cell_length_b 6.036
_cell_length_c 10.347
_cell_angle_alpha 90.00
_cell_angle_beta 125.03
_cell_angle_gamma 90.00
_space_group_name_H-M_alt 'P 1'
_space_group_IT_number 1
loop_
_space_group_symop_operation_xyz
'x,y,z'
loop_
_atom_site_label
_atom_site_fract_x
_atom_site_fract_y
_atom_site_fract_z
_atom_site_occupancy
Sm1 0.000 0.000 0.000 1
Sm2 0.000 0.500 0.500 1
Nb1 0.500 0.000 0.500 1
Nb2 0.500 0.500 0.000 1
Pb1 0.244 0.030 0.751 1
Pb2 0.244 0.470 0.251 1
Pb3 0.756 0.530 0.749 1
Pb4 0.756 0.970 0.249 1
O1 0.177 0.187 0.454 1
O2 0.177 0.313 0.954 1
O3 0.273 0.720 0.454 1
O4 0.273 0.780 0.954 1
O5 0.359 0.023 0.269 1
O6 0.359 0.477 0.769 1
O7 0.641 0.523 0.231 1
O8 0.641 0.977 0.731 1
O9 0.727 0.220 0.046 1
O10 0.727 0.280 0.546 1
O11 0.823 0.687 0.046 1
O12 0.823 0.813 0.546 1
```

Properties
E_tot: -7.407 eV per atom
Raw formation energy: -2212 meV per atom

=====

8.
An optimized crystal structure of K2BiSbTe4. Source: Alexandria via LeMat-Bulk, functional PBE.

```
data_K2BiSbTe4
_cell_length_a 9.419
_cell_length_b 9.419
_cell_length_c 9.419
_cell_angle_alpha 120.36
_cell_angle_beta 119.65
_cell_angle_gamma 89.99
_space_group_name_H-M_alt 'P 1'
_space_group_IT_number 1
loop_
_space_group_symop_operation_xyz
'x,y,z'
loop_
_atom_site_label
_atom_site_fract_x
_atom_site_fract_y
_atom_site_fract_z
_atom_site_occupancy
K1 0.000 0.000 0.000 1
K2 0.500 0.000 0.000 1
K3 0.500 0.000 0.500 1
K4 0.500 0.500 0.500 1
Bi1 0.000 0.500 0.500 1
Bi2 0.500 0.500 0.000 1
Sb1 0.000 0.000 0.500 1
Sb2 0.000 0.500 0.000 1
Te1 0.211 0.739 0.471 1
Te2 0.232 0.261 0.971 1
Te3 0.236 0.257 0.521 1
Te4 0.236 0.714 0.979 1
Te5 0.764 0.286 0.021 1
Te6 0.764 0.743 0.479 1
Te7 0.768 0.739 0.029 1
Te8 0.789 0.261 0.529 1
```

Properties
E_tot: -3.399 eV per atom
Raw formation energy: -554 meV per atom

=====

Q: Which value of E_tot does entry 4 give?
A: -3.863 eV per atom

=====

Q: What is the E_tot in the fifth record?
A: -3.661 eV per atom